Record 1
{"formula": "Er2Si2Ge", "functional": "GGA-PBE", "state": "optimized geometry", "lattice_angstrom": [[-2.412, 2.904, 5.927], [4.202, -4.191, 3.763], [5.985, 5.686, -0.350]], "species": ["Er", "Er", "Er", "Er", "Er", "Er", "Er", "Er", "Si", "Si", "Si", "Si", "Si", "Si", "Si", "Si", "Ge", "Ge", "Ge", "Ge"], "frac_coords": [[0.680, 0.820, 0.500], [0.320, 0.180, 0.500], [0.180, 0.680, 0.500], [0.320, 0.180, 0.000], [0.180, 0.680, 0.000], [0.820, 0.320, 0.500], [0.820, 0.320, 0.000], [0.680, 0.820, 0.000], [0.381, 0.881, 0.750], [0.881, 0.619, 0.750], [0.881, 0.619, 0.250], [0.381, 0.881, 0.250], [0.119, 0.381, 0.250], [0.619, 0.119, 0.250], [0.119, 0.381, 0.750], [0.619, 0.119, 0.750], [0.000, 0.000, 0.750], [0.500, 0.500, 0.250], [0.500, 0.500, 0.750], [0.000, 0.000, 0.250]], "e_form_raw_ev_per_atom": -0.6327, "sg": "P4/mbm, No. 127", "m_tot_mub_per_fu": 0.000}

Record 2
{"formula": "BaY", "functional": "GGA-PBE", "state": "optimized geometry", "lattice_angstrom": [[-2.506, -12.766, 0.289], [11.901, 4.362, 2.943], [-0.979, 0.273, 3.554]], "species": ["Ba", "Ba", "Ba", "Ba", "Ba", "Ba", "Y", "Y", "Y", "Y", "Y", "Y"], "frac_coords": [[0.066, 0.761, 0.750], [0.761, 0.694, 0.250], [0.694, 0.934, 0.750], [0.934, 0.239, 0.250], [0.239, 0.306, 0.750], [0.306, 0.066, 0.250], [0.462, 0.608, 0.750], [0.392, 0.854, 0.750], [0.854, 0.462, 0.250], [0.538, 0.392, 0.250], [0.608, 0.146, 0.250], [0.146, 0.538, 0.750]], "sg": "P6_3/m, No. 176", "m_tot_mub_per_fu": 0.469}

Record 3
{"formula": "Ni2PbAu2", "functional": "GGA-PBE", "state": "optimized geometry", "lattice_angstrom": [[-2.437, 0.697, 2.996], [-2.605, -2.501, -1.537], [-0.060, -5.329, 3.761]], "species": ["Pb", "Au", "Au", "Ni", "Ni"], "frac_coords": [[0.000, 0.000, 0.000], [0.250, 0.750, 0.500], [0.750, 0.250, 0.500], [0.599, 0.599, 0.803], [0.401, 0.401, 0.197]], "sg": "I4/mmm, No. 139", "m_tot_mub_per_fu": 0.000}

Record 4
{"formula": "Ca3ScSe", "functional": "GGA-PBE", "state": "optimized geometry", "lattice_angstrom": [[-1.278, 4.255, -3.454], [1.868, -2.996, -4.382], [-5.152, -2.142, -0.732]], "species": ["Ca", "Ca", "Ca", "Sc", "Se"], "frac_coords": [[0.000, 0.000, 0.500], [0.500, 0.000, 0.000], [0.000, 0.500, 0.000], [0.500, 0.500, 0.500], [0.000, 0.000, 0.000]], "e_form_raw_ev_per_atom": -0.3938, "sg": "Pm-3m, No. 221", "m_tot_mub_per_fu": 0.924}

Record 5
{"formula": "Er3Tl12Cd5", "functional": "GGA-PBE", "state": "optimized geometry", "lattice_angstrom": [[-1.916, -14.513, 4.342], [11.516, 0.846, -9.990], [3.215, 8.584, 12.212]], "species": ["Cd", "Cd", "Cd", "Cd", "Cd", "Cd", "Cd", "Cd", "Cd", "Cd", "Cd", "Cd", "Cd", "Cd", "Cd", "Cd", "Cd", "Cd", "Cd", "Cd", "Tl", "Tl", "Tl", "Tl", "Tl", "Tl", "Tl", "Tl", "Tl", "Tl", "Tl", "Tl", "Tl", "Tl", "Tl", "Tl", "Tl", "Tl", "Tl", "Tl", "Tl", "Tl", "Tl", "Tl", "Tl", "Tl", "Tl", "Tl", "Tl", "Tl", "Tl", "Tl", "Tl", "Tl", "Tl", "Tl", "Tl", "Tl", "Tl", "Tl", "Tl", "Tl", "Tl", "Tl", "Tl", "Tl", "Tl", "Tl", "Er", "Er", "Er", "Er", "Er", "Er", "Er", "Er", "Er", "Er", "Er", "Er"], "frac_coords": [[0.750, 0.125, 0.875], [0.500, 0.000, 0.500], [0.250, 0.875, 0.125], [0.125, 0.750, 0.375], [0.250, 0.375, 0.625], [0.375, 0.125, 0.750], [0.000, 0.000, 0.500], [0.500, 0.000, 0.000], [0.750, 0.625, 0.375], [0.000, 0.500, 0.000], [0.625, 0.875, 0.250], [0.500, 0.500, 0.500], [0.625, 0.750, 0.875], [0.125, 0.375, 0.250], [0.000, 0.500, 0.500], [0.375, 0.250, 0.125], [0.875, 0.250, 0.625], [0.000, 0.000, 0.000], [0.500, 0.500, 0.000], [0.875, 0.625, 0.750], [0.430, 0.371, 0.598], [0.774, 0.441, 0.371], [0.274, 0.871, 0.941], [0.059, 0.430, 0.832], [0.441, 0.774, 0.871], [0.332, 0.559, 0.430], [0.726, 0.129, 0.059], [0.402, 0.129, 0.570], [0.129, 0.402, 0.070], [0.430, 0.059, 0.332], [0.902, 0.070, 0.629], [0.371, 0.941, 0.774], [0.598, 0.726, 0.668], [0.871, 0.598, 0.930], [0.168, 0.070, 0.941], [0.930, 0.098, 0.871], [0.274, 0.402, 0.832], [0.559, 0.226, 0.129], [0.441, 0.668, 0.070], [0.832, 0.902, 0.274], [0.668, 0.226, 0.598], [0.098, 0.168, 0.226], [0.070, 0.168, 0.441], [0.070, 0.902, 0.129], [0.668, 0.441, 0.570], [0.168, 0.098, 0.726], [0.570, 0.629, 0.402], [0.332, 0.774, 0.402], [0.226, 0.668, 0.098], [0.902, 0.832, 0.774], [0.570, 0.941, 0.668], [0.941, 0.570, 0.168], [0.871, 0.274, 0.441], [0.930, 0.832, 0.559], [0.832, 0.930, 0.059], [0.059, 0.629, 0.726], [0.098, 0.930, 0.371], [0.629, 0.570, 0.902], [0.726, 0.598, 0.168], [0.598, 0.871, 0.430], [0.129, 0.726, 0.559], [0.559, 0.332, 0.930], [0.226, 0.559, 0.629], [0.941, 0.371, 0.274], [0.774, 0.332, 0.902], [0.629, 0.059, 0.226], [0.402, 0.274, 0.332], [0.371, 0.430, 0.098], [0.625, 0.375, 0.750], [0.125, 0.875, 0.750], [0.125, 0.250, 0.875], [0.250, 0.625, 0.875], [0.250, 0.125, 0.375], [0.375, 0.625, 0.250], [0.750, 0.375, 0.125], [0.375, 0.750, 0.625], [0.625, 0.250, 0.375], [0.875, 0.125, 0.250], [0.750, 0.875, 0.625], [0.875, 0.750, 0.125]], "sg": "Ia-3d, No. 230", "m_tot_mub_per_fu": 0.000}

Record 6
{"formula": "NbHgBiF2", "functional": "GGA-PBE", "state": "optimized geometry", "lattice_angstrom": [[-1.616, 3.808, -1.733], [-1.618, -2.961, -4.999], [-4.007, -0.875, 1.815]], "species": ["Hg", "F", "F", "Bi", "Nb"], "frac_coords": [[0.500, 0.500, 0.500], [0.500, 0.000, 0.000], [0.000, 0.000, 0.500], [0.000, 0.000, 0.000], [0.000, 0.500, 0.000]], "e_form_raw_ev_per_atom": -0.5785, "sg": "P4/mmm, No. 123", "m_tot_mub_per_fu": 3.791}

Record order is preserved below.
V: 408; 542; 91; 178; 2740; 121 Å³/cell
Record order is preserved below.
Total DFT energy (no corrections): -5.5505; -3.7657; -4.1501; -3.5580; -2.1050; -4.1776 eV/atom